Material: Sb2SeCl
Method: DFT, GGA-PBE
State: optimized geometry

Computed properties:
Spin magnetization ... 0.00 μB per atom
Energy relative to the elements, uncorrected ... -0.105 eV/atom

abc: 3.3039 4.5625 7.2427
angles: 90.00 90.00 90.00
Space group Pmmm (No. 47)
Unique sites:
Sb: 0.0000 0.0000 0.2332 (multiplicity 2)
Se: 0.0000 0.5000 0.0000 (multiplicity 1)
Cl: 0.0000 0.5000 0.5000 (multiplicity 1)



Material: Sb2SeCl
Method: DFT, GGA-PBE
State: optimized geometry

Computed properties:
Spin magnetization ... 0.00 μB per atom
Energy relative to the elements, uncorrected ... -0.024 eV/atom

abc: 3.6598 3.6598 27.4675
angles: 90.00 90.00 120.00
Space group R3m (No. 160, hexagonal axes)
Unique sites:
Sb: 0.0000 0.0000 0.0000 (multiplicity 3)
Sb: 0.0000 0.0000 0.2410 (multiplicity 3)
Se: 0.0000 0.0000 0.5097 (multiplicity 3)
Cl: 0.0000 0.0000 0.7436 (multiplicity 3)



Material: Sb2SeCl
Method: DFT, GGA-PBE
State: optimized geometry

Computed properties:
Spin magnetization ... 0.00 μB per atom
Energy relative to the elements, uncorrected ... -0.028 eV/atom

abc: 3.5786 6.1042 9.2253
angles: 90.00 90.00 90.00
Space group Cmmm (No. 65)
Unique sites:
Sb: 0.0000 0.0000 0.2395 (multiplicity 4)
Se: 0.0000 0.5000 0.0000 (multiplicity 2)
Cl: 0.0000 0.5000 0.5000 (multiplicity 2)



Material: Sb2SeCl
Method: DFT, GGA-PBE
State: optimized geometry

Computed properties:
Spin magnetization ... 0.00 μB per atom
Energy relative to the elements, uncorrected ... 0.094 eV/atom

abc: 7.2642 7.2642 7.2642
angles: 90.00 90.00 90.00
Space group Fm-3m (No. 225)
Unique sites:
Sb: 0.2500 0.2500 0.2500 (multiplicity 8)
Se: 0.0000 0.0000 0.0000 (multiplicity 4)
Cl: 0.0000 0.0000 0.5000 (multiplicity 4)



Material: Sb2SeCl
Method: DFT, GGA-PBE
State: optimized geometry

Computed properties:
Spin magnetization ... 0.00 μB per atom
Energy relative to the elements, uncorrected ... -0.220 eV/atom

abc: 5.6398 4.1099 5.6720
angles: 90.00 104.58 90.00
Space group Pm (No. 6)
Unique sites:
Sb: 0.0000 0.0000 0.0000 (multiplicity 1)
Sb: 0.1985 0.5000 0.3850 (multiplicity 1)
Se: 0.3578 0.0000 0.8005 (multiplicity 1)
Cl: 0.7871 0.5000 0.4623 (multiplicity 1)



Material: Sb2SeCl
Method: DFT, GGA-PBE
State: optimized geometry

Computed properties:
Spin magnetization ... 0.00 μB per atom
Energy relative to the elements, uncorrected ... -0.055 eV/atom

abc: 7.1943 9.1270 3.2730
angles: 90.00 90.58 90.00
Space group C2/m (No. 12)
Unique sites:
Sb: 0.2500 0.2500 0.0000 (multiplicity 4)
Se: 0.0000 0.0000 0.0000 (multiplicity 2)
Cl: 0.0000 0.5000 0.0000 (multiplicity 2)



Material: Sb2Se2Cl
Method: DFT, GGA-PBE
State: optimized geometry

Computed properties:
Spin magnetization ... 0.00 μB per atom
Energy relative to the elements, uncorrected ... -0.200 eV/atom

abc: 5.1648 5.1648 10.8176
angles: 90.00 90.00 90.00
Space group I4/mmm (No. 139)
Unique sites:
Sb: 0.0000 0.0000 0.1487 (multiplicity 4)
Se: 0.0000 0.5000 0.2500 (multiplicity 4)
Cl: 0.0000 0.0000 0.5000 (multiplicity 2)



Material: Sb2SeCl
Method: DFT, GGA-PBE
State: optimized geometry

Computed properties:
Spin magnetization ... 0.00 μB per atom
Energy relative to the elements, uncorrected ... -0.032 eV/atom

abc: 7.9994 7.9994 6.7430
angles: 90.00 90.00 90.00
Space group I-42d (No. 122)
Unique sites:
Sb: 0.2343 0.7500 0.1250 (multiplicity 8)
Se: 0.0000 0.0000 0.0000 (multiplicity 4)
Cl: 0.0000 0.0000 0.5000 (multiplicity 4)



Material: Sb4Se5Cl
Method: DFT, GGA-PBE
State: optimized geometry

Computed properties:
Spin magnetization ... 0.00 μB per atom
Energy relative to the elements, uncorrected ... -0.200 eV/atom

abc: 8.2975 10.0609 7.5489
angles: 90.00 90.00 90.00
Space group Pmmn (No. 59, origin choice 2)
Unique sites:
Sb: 0.0636 0.2500 0.0301 (multiplicity 4)
Sb: 0.2500 0.5183 0.4653 (multiplicity 4)
Se: 0.0086 0.0460 0.2363 (multiplicity 8)
Se: 0.2500 0.7500 0.2873 (multiplicity 2)
Cl: 0.2500 0.2500 0.6078 (multiplicity 2)



Material: Sb2SeCl
Method: DFT, GGA-PBE
State: optimized geometry

Computed properties:
Spin magnetization ... 0.00 μB per atom
Energy relative to the elements, uncorrected ... -0.064 eV/atom

abc: 3.6441 3.6441 26.5788
angles: 90.00 90.00 120.00
Space group R-3m (No. 166, hexagonal axes)
Unique sites:
Sb: 0.0000 0.0000 0.2436 (multiplicity 6)
Se: 0.0000 0.0000 0.5000 (multiplicity 3)
Cl: 0.0000 0.0000 0.0000 (multiplicity 3)



Material: SbSe9Cl7
Method: DFT, GGA-PBE
State: optimized geometry

Computed properties:
Spin magnetization ... 0.00 μB per atom
Energy relative to the elements, uncorrected ... -0.303 eV/atom

abc: 12.2845 13.4057 15.2148
angles: 90.00 113.61 90.00
Space group P2_1/c (No. 14)
Unique sites:
Sb: 0.2098 0.1773 0.4109 (multiplicity 4)
Se: 0.1055 0.7298 0.4166 (multiplicity 4)
Se: 0.1274 0.5471 0.4461 (multiplicity 4)
Se: 0.1790 0.5239 0.6075 (multiplicity 4)
Se: 0.1923 0.6864 0.0673 (multiplicity 4)
Se: 0.2649 0.7447 0.8449 (multiplicity 4)
Se: 0.3691 0.6120 0.3825 (multiplicity 4)
Se: 0.3910 0.5179 0.6747 (multiplicity 4)
Se: 0.3981 0.7072 0.1222 (multiplicity 4)
Se: 0.4393 0.6748 0.7494 (multiplicity 4)
Cl: 0.0606 0.1934 0.8445 (multiplicity 4)
Cl: 0.0756 0.0564 0.3021 (multiplicity 4)
Cl: 0.1288 0.1407 0.5280 (multiplicity 4)
Cl: 0.2762 0.5069 0.2632 (multiplicity 4)
Cl: 0.2874 0.2159 0.2923 (multiplicity 4)
Cl: 0.3433 0.2002 0.0184 (multiplicity 4)
Cl: 0.3585 0.0504 0.4782 (multiplicity 4)



Material: Sb2SeCl
Method: DFT, GGA-PBE
State: optimized geometry

Computed properties:
Spin magnetization ... 0.00 μB per atom
Energy relative to the elements, uncorrected ... -0.025 eV/atom

abc: 3.7284 3.7284 7.3691
angles: 90.00 90.00 90.00
Space group P4/mmm (No. 123)
Unique sites:
Sb: 0.0000 0.0000 0.2038 (multiplicity 2)
Se: 0.5000 0.5000 0.0000 (multiplicity 1)
Cl: 0.5000 0.5000 0.5000 (multiplicity 1)



Question: spin magnetization of number 12 (Sb2SeCl)?
Answer: 0.00 μB per atom